1.
## CoMoPt2 (GGA-PBE)

Data for an optimized crystal structure of CoMoPt2.

abc: 2.733 3.823 5.521
angles: 90.00 90.00 90.00
Each line ends with the local moment (μB).
Element x y z (fractional)
Co  0.000  0.000  0.509  0.74
Mo  0.500  0.500  0.733  -0.14
Pt  0.000  0.000  0.989  -0.01
Pt  0.500  0.500  0.268  0.02

Computed properties:
Distance to the lowest polymorph of the same formula   0.19 eV/f.u.
Final energy   -7.65 eV/atom
Energy of formation from the pure elements   -0.15 eV/atom


2.
## CaHg2Ge (GGA-PBE)

Data for an optimized crystal structure of CaHg2Ge.

abc: 4.508 4.508 10.919
angles: 78.09 78.09 90.00
Element x y z (fractional)
Ge  0.000  0.000  0.000
Ge  0.750  0.250  0.500
Ca  0.500  0.500  0.000
Ca  0.250  0.750  0.500
Hg  0.651  0.125  0.250
Hg  0.099  0.625  0.250
Hg  0.375  0.349  0.750
Hg  0.875  0.901  0.750

Computed properties:
Final energy   -1.96 eV/atom
Energy of formation from the pure elements   -0.16 eV/atom


3.
## CoSbBr2 (GGA-PBE)

Data for an optimized crystal structure of CoSbBr2.

abc: 7.608 7.608 7.608
angles: 154.15 137.54 50.38
Each line ends with the local moment (μB).
Element x y z (fractional)
Br  0.937  0.937  0.000  0.03
Br  0.652  0.152  0.500  0.10
Co  0.529  0.529  0.000  1.87
Sb  0.382  0.882  0.500  -0.05

Computed properties:
Distance to the lowest polymorph of the same formula   0.58 eV/f.u.
Final energy   -3.63 eV/atom
E_form (uncorrected)   9.6 meV/atom


4.
## BaInAu3 (GGA-PBE)

Data for an optimized crystal structure of BaInAu3.

abc: 5.311 5.311 5.311
angles: 90.00 90.00 90.00
Element x y z (fractional)
Au  0.000  0.500  0.000
Au  0.000  0.000  0.500
Au  0.500  0.000  0.000
Ba  0.500  0.500  0.500
In  0.000  0.000  0.000

Computed properties:
Distance to the lowest polymorph of the same formula   0.81 eV/f.u.
Final energy   -3.25 eV/atom
Energy of formation from the pure elements   -0.35 eV/atom


5.
## Pa2Co3Os (GGA-PBE)

Data for an optimized crystal structure of Pa2Co3Os.

abc: 5.018 5.018 5.141
angles: 90.00 119.24 119.98
Element x y z (fractional)
Pa  0.752  0.376  0.128
Pa  0.248  0.624  0.872
Co  0.500  0.500  0.500
Co  0.000  0.000  0.500
Co  0.500  0.000  0.500
Os  0.000  0.000  0.000

Computed properties:
Final energy   -8.95 eV/atom
Energy of formation from the pure elements   -0.36 eV/atom


6.
## HfAlPd2 (GGA-PBE)

Data for an optimized crystal structure of HfAlPd2.

abc: 2.991 4.710 4.710
angles: 90.00 90.00 90.00
Element x y z (fractional)
Hf  0.500  0.500  0.500
Al  0.500  0.000  0.000
Pd  0.000  0.000  0.500
Pd  0.000  0.500  0.000

Computed properties:
Final energy   -6.70 eV/atom
Energy of formation from the pure elements   -0.68 eV/atom


7.
## VGa2I6 (GGA-PBE)

Data for an optimized crystal structure of VGa2I6.

abc: 7.392 10.570 10.570
angles: 66.38 81.03 81.03
Each line ends with the local moment (μB).
Element x y z (fractional)
V  0.250  0.085  0.915  2.03
V  0.750  0.915  0.085  2.03
Ga  0.354  0.527  0.573  0.00
Ga  0.146  0.427  0.473  0.00
Ga  0.646  0.473  0.427  0.00
Ga  0.854  0.573  0.527  0.00
I  0.299  0.769  0.576  -0.01
I  0.201  0.424  0.231  -0.01
I  0.701  0.231  0.424  -0.01
I  0.799  0.576  0.769  -0.01
I  0.843  0.843  0.356  -0.03
I  0.657  0.644  0.157  -0.03
I  0.157  0.157  0.644  -0.03
I  0.343  0.356  0.843  -0.03
I  0.099  0.842  0.978  -0.08
I  0.401  0.022  0.158  -0.08
I  0.901  0.158  0.022  -0.08
I  0.599  0.978  0.842  -0.08

Computed properties:
Final energy   -3.11 eV/atom
E_form (uncorrected)   -394.2 meV/atom


8.
## Tm2PuIn (GGA-PBE)

Data for an optimized crystal structure of Tm2PuIn.

abc: 3.460 3.460 10.989
angles: 80.94 80.94 60.00
Each line ends with the local moment (μB).
Element x y z (fractional)
Tm  0.080  0.080  0.759  -0.20
Tm  0.253  0.253  0.240  -0.11
Pu  0.500  0.500  0.501  -5.57
In  0.667  0.667  0.000  -0.01

Computed properties:
Distance to the lowest polymorph of the same formula   0.32 eV/f.u.
Final energy   -6.57 eV/atom
Energy of formation from the pure elements   -0.07 eV/atom


9.
## ZrTaSn2 (GGA-PBE)

Data for an optimized crystal structure of ZrTaSn2.

abc: 7.784 7.784 6.299
angles: 51.84 51.84 90.00
Element x y z (fractional)
Sn  0.637  0.125  0.250
Sn  0.113  0.625  0.250
Sn  0.375  0.363  0.750
Sn  0.875  0.887  0.750
Zr  0.500  0.500  0.000
Zr  0.250  0.750  0.500
Ta  0.000  0.000  0.000
Ta  0.750  0.250  0.500

Computed properties:
Distance to the lowest polymorph of the same formula   0.68 eV/f.u.
Final energy   -6.88 eV/atom
Energy of formation from the pure elements   0.22 eV/atom


10.
## RbV2PtS8 (GGA-PBE)

Data for an optimized crystal structure of RbV2PtS8.

abc: 6.057 6.057 9.955
angles: 72.29 72.29 60.00
Element x y z (fractional)
Rb  0.500  0.500  0.500
V  0.262  0.262  0.215
V  0.738  0.738  0.785
Pt  0.000  0.000  0.000
S  0.186  0.186  0.442
S  0.635  0.272  0.153
S  0.814  0.814  0.558
S  0.940  0.635  0.153
S  0.060  0.365  0.847
S  0.272  0.940  0.153
S  0.728  0.060  0.847
S  0.365  0.728  0.847

Computed properties:
Final energy   -5.33 eV/atom
E_form (uncorrected)   -471.6 meV/atom


11.
## SrTe2Cl (GGA-PBE)

Data for an optimized crystal structure of SrTe2Cl.

abc: 8.514 8.514 8.514
angles: 36.30 36.30 36.30
Element x y z (fractional)
Sr  0.500  0.500  0.500
Te  0.889  0.889  0.889
Te  0.111  0.111  0.111
Cl  0.000  0.000  0.000

Computed properties:
Distance to the lowest polymorph of the same formula   2.32 eV/f.u.
Final energy   -3.12 eV/atom
E_form (uncorrected)   -666.6 meV/atom


12.
## SrIr3C (GGA-PBE)

Data for an optimized crystal structure of SrIr3C.

abc: 4.971 4.971 4.971
angles: 90.00 90.00 90.00
Element x y z (fractional)
Sr  0.000  0.000  0.000
C  0.500  0.500  0.500
Ir  0.000  0.500  0.000
Ir  0.000  0.000  0.500
Ir  0.500  0.000  0.000

Computed properties:
Distance to the lowest polymorph of the same formula   19.48 eV/f.u.
Final energy   -3.36 eV/atom
Energy of formation from the pure elements   4.13 eV/atom


13.
## Li2MgSnH (GGA-PBE)

Data for an optimized crystal structure of Li2MgSnH.

abc: 4.278 4.278 4.274
angles: 90.00 90.00 90.00
Element x y z (fractional)
H  0.000  0.000  0.000
Mg  0.000  0.000  0.500
Sn  0.500  0.500  0.500
Li  0.000  0.500  0.000
Li  0.500  0.000  0.000

Computed properties:
Distance to the lowest polymorph of the same formula   0.00 eV/f.u.
Final energy   -2.83 eV/atom


| no. | magnetic moment (μB per cell) |
| --- | --- |
| 1 | 0.6 |
| 2 | 0.0 |
| 3 | 2.0 |
| 4 | 0.0 |
| 5 | 0.0 |
| 6 | 0.0 |
| 7 | 4.0 |
| 8 | 6.4 |
| 9 | 0.0 |
| 10 | 0.0 |
| 11 | 0.0 |
| 12 | 0.0 |
| 13 | 0.0 |